# Ca2UTl2S6, optimized geometry, DFT PBE-GGA
# Magnetization ... 0.0000 μB/atom
# Uncorrected formation energy ... -128 kJ per mole of atoms
# Space group ... C2/m (12)
data_Ca2UTl2S6
_cell_length_a 6.964
_cell_length_b 6.964
_cell_length_c 7.809
_cell_angle_alpha 98.83
_cell_angle_beta 98.83
_cell_angle_gamma 119.36
_space_group_name_H-M_alt 'P 1'
_space_group_IT_number 1
_space_group_name_Hall 'P 1'
loop_
_atom_site_label
_atom_site_type_symbol
_atom_site_fract_x
_atom_site_fract_y
_atom_site_fract_z
Ca1 Ca 0.166 0.834 0.000
Ca2 Ca 0.834 0.166 0.000
U1 U 0.500 0.500 0.000
Tl1 Tl 0.329 0.671 0.500
Tl2 Tl 0.671 0.329 0.500
S1 S 0.131 0.436 0.805
S2 S 0.268 0.268 0.200
S3 S 0.436 0.131 0.805
S4 S 0.564 0.869 0.195
S5 S 0.732 0.732 0.800
S6 S 0.869 0.564 0.195

---

# CaTlVS4, optimized geometry, DFT PBE-GGA
# Magnetization ... 0.0000 μB/atom
# Uncorrected formation energy ... -104 kJ per mole of atoms
# Space group ... P2_1/m (11)
data_CaTlVS4
_cell_length_a 6.608
_cell_length_b 6.671
_cell_length_c 8.705
_cell_angle_alpha 90.00
_cell_angle_beta 107.14
_cell_angle_gamma 90.00
_space_group_name_H-M_alt 'P 1'
_space_group_IT_number 1
_space_group_name_Hall 'P 1'
loop_
_atom_site_label
_atom_site_type_symbol
_atom_site_fract_x
_atom_site_fract_y
_atom_site_fract_z
Ca1 Ca 0.231 0.250 0.049
Ca2 Ca 0.769 0.750 0.951
Tl1 Tl 0.263 0.250 0.567
Tl2 Tl 0.737 0.750 0.433
V1 V 0.218 0.750 0.824
V2 V 0.782 0.250 0.176
S1 S 0.005 0.004 0.778
S2 S 0.005 0.496 0.778
S3 S 0.406 0.750 0.070
S4 S 0.415 0.750 0.666
S5 S 0.585 0.250 0.334
S6 S 0.594 0.250 0.930
S7 S 0.995 0.504 0.222
S8 S 0.995 0.996 0.222

---

# CaY2Tl3S6, optimized geometry, DFT PBE-GGA
# Magnetization ... 0.0000 μB/atom
# Uncorrected formation energy ... -130 kJ per mole of atoms
# Space group ... C2/m (12)
data_CaY2Tl3S6
_cell_length_a 7.076
_cell_length_b 7.076
_cell_length_c 7.603
_cell_angle_alpha 98.89
_cell_angle_beta 98.89
_cell_angle_gamma 119.99
_space_group_name_H-M_alt 'P 1'
_space_group_IT_number 1
_space_group_name_Hall 'P 1'
loop_
_atom_site_label
_atom_site_type_symbol
_atom_site_fract_x
_atom_site_fract_y
_atom_site_fract_z
Ca1 Ca 0.000 0.000 0.000
Y1 Y 0.333 0.667 0.000
Y2 Y 0.667 0.333 0.000
Tl1 Tl 0.165 0.835 0.500
Tl2 Tl 0.500 0.500 0.500
Tl3 Tl 0.835 0.165 0.500
S1 S 0.069 0.413 0.207
S2 S 0.276 0.276 0.796
S3 S 0.413 0.069 0.207
S4 S 0.587 0.931 0.793
S5 S 0.724 0.724 0.204
S6 S 0.931 0.587 0.793

---

# CaY2TlS, optimized geometry, DFT PBE-GGA
# Magnetization ... 0.0000 μB/atom
# Uncorrected formation energy ... -83 kJ per mole of atoms
# Space group ... P4/mmm (123)
# Relative energy among the computed polymorphs ... 0 meV/atom
data_CaY2TlS
_cell_length_a 5.217
_cell_length_b 5.217
_cell_length_c 5.226
_cell_angle_alpha 90.00
_cell_angle_beta 90.00
_cell_angle_gamma 90.00
_space_group_name_H-M_alt 'P 1'
_space_group_IT_number 1
_space_group_name_Hall 'P 1'
loop_
_atom_site_label
_atom_site_type_symbol
_atom_site_fract_x
_atom_site_fract_y
_atom_site_fract_z
Ca1 Ca 0.000 0.000 0.000
Y1 Y 0.000 0.500 0.500
Y2 Y 0.500 0.000 0.500
Tl1 Tl 0.500 0.500 0.000
S1 S 0.000 0.000 0.500

---

# Ca2YTlS, optimized geometry, DFT PBE-GGA
# Magnetization ... 0.0000 μB/atom
# Uncorrected formation energy ... -84 kJ per mole of atoms
# Space group ... P4/mmm (123)
data_Ca2YTlS
_cell_length_a 5.275
_cell_length_b 5.275
_cell_length_c 5.310
_cell_angle_alpha 90.00
_cell_angle_beta 90.00
_cell_angle_gamma 90.00
_space_group_name_H-M_alt 'P 1'
_space_group_IT_number 1
_space_group_name_Hall 'P 1'
loop_
_atom_site_label
_atom_site_type_symbol
_atom_site_fract_x
_atom_site_fract_y
_atom_site_fract_z
Ca1 Ca 0.000 0.500 0.000
Ca2 Ca 0.500 0.000 0.000
Y1 Y 0.000 0.000 0.500
Tl1 Tl 0.500 0.500 0.500
S1 S 0.000 0.000 0.000

---

# Ca2ZrTl3S6, optimized geometry, DFT PBE-GGA
# Magnetization ... 0.0000 μB/atom
# Uncorrected formation energy ... -116 kJ per mole of atoms
# Space group ... C2/m (12)
data_Ca2ZrTl3S6
_cell_length_a 7.016
_cell_length_b 7.016
_cell_length_c 7.521
_cell_angle_alpha 99.04
_cell_angle_beta 99.04
_cell_angle_gamma 120.00
_space_group_name_H-M_alt 'P 1'
_space_group_IT_number 1
_space_group_name_Hall 'P 1'
loop_
_atom_site_label
_atom_site_type_symbol
_atom_site_fract_x
_atom_site_fract_y
_atom_site_fract_z
Ca1 Ca 0.166 0.834 0.000
Ca2 Ca 0.834 0.166 0.000
Zr1 Zr 0.500 0.500 0.000
Tl1 Tl 0.000 0.000 0.500
Tl2 Tl 0.332 0.668 0.500
Tl3 Tl 0.668 0.332 0.500
S1 S 0.125 0.431 0.797
S2 S 0.264 0.264 0.210
S3 S 0.431 0.125 0.797
S4 S 0.569 0.875 0.203
S5 S 0.736 0.736 0.790
S6 S 0.875 0.569 0.203

---

# CaTm2S3, optimized geometry, DFT PBE-GGA
# Magnetization ... 0.0000 μB/atom
# Uncorrected formation energy ... -192 kJ per mole of atoms
# Space group ... Immm (71)
data_CaTm2S3
_cell_length_a 6.764
_cell_length_b 6.764
_cell_length_c 6.764
_cell_angle_alpha 146.73
_cell_angle_beta 132.09
_cell_angle_gamma 59.58
_space_group_name_H-M_alt 'P 1'
_space_group_IT_number 1
_space_group_name_Hall 'P 1'
loop_
_atom_site_label
_atom_site_type_symbol
_atom_site_fract_x
_atom_site_fract_y
_atom_site_fract_z
Ca1 Ca 0.000 0.000 0.000
Tm1 Tm 0.336 0.336 0.000
Tm2 Tm 0.664 0.664 0.000
S1 S 0.171 0.671 0.500
S2 S 0.500 0.000 0.500
S3 S 0.829 0.329 0.500

---

# CaTm4S5, optimized geometry, DFT PBE-GGA
# Magnetization ... 0.0000 μB/atom
# Uncorrected formation energy ... -189 kJ per mole of atoms
# Space group ... I4/m (87)
data_CaTm4S5
_cell_length_a 6.700
_cell_length_b 6.700
_cell_length_c 6.700
_cell_angle_alpha 99.60
_cell_angle_beta 99.60
_cell_angle_gamma 131.80
_space_group_name_H-M_alt 'P 1'
_space_group_IT_number 1
_space_group_name_Hall 'P 1'
loop_
_atom_site_label
_atom_site_type_symbol
_atom_site_fract_x
_atom_site_fract_y
_atom_site_fract_z
Ca1 Ca 0.000 0.000 0.000
Tm1 Tm 0.201 0.602 0.803
Tm2 Tm 0.398 0.201 0.598
Tm3 Tm 0.602 0.799 0.402
Tm4 Tm 0.799 0.398 0.197
S1 S 0.100 0.304 0.403
S2 S 0.304 0.900 0.204
S3 S 0.500 0.500 0.000
S4 S 0.696 0.100 0.796
S5 S 0.900 0.696 0.597

---

Repeat the third record exactly.
# CaY2Tl3S6, optimized geometry, DFT PBE-GGA
# Magnetization ... 0.0000 μB/atom
# Uncorrected formation energy ... -130 kJ per mole of atoms
# Space group ... C2/m (12)
data_CaY2Tl3S6
_cell_length_a 7.076
_cell_length_b 7.076
_cell_length_c 7.603
_cell_angle_alpha 98.89
_cell_angle_beta 98.89
_cell_angle_gamma 119.99
_space_group_name_H-M_alt 'P 1'
_space_group_IT_number 1
_space_group_name_Hall 'P 1'
loop_
_atom_site_label
_atom_site_type_symbol
_atom_site_fract_x
_atom_site_fract_y
_atom_site_fract_z
Ca1 Ca 0.000 0.000 0.000
Y1 Y 0.333 0.667 0.000
Y2 Y 0.667 0.333 0.000
Tl1 Tl 0.165 0.835 0.500
Tl2 Tl 0.500 0.500 0.500
Tl3 Tl 0.835 0.165 0.500
S1 S 0.069 0.413 0.207
S2 S 0.276 0.276 0.796
S3 S 0.413 0.069 0.207
S4 S 0.587 0.931 0.793
S5 S 0.724 0.724 0.204
S6 S 0.931 0.587 0.793

---

Q: Among the records above, which one has the highest uncorrected formation energy?
A: CaY2TlS